# 1
UPa2O8F | PBE | optimized geometry

Cell lengths 3.675, 5.293, 8.179 Å; angles 97.48, 73.26, 83.47 degrees
Last column: magnetic moment on the atom in μB.
Fractional positions:
O (0.547, 0.236, 0.979)  0.00
O (0.217, 0.116, 0.763)  0.00
O (0.905, 0.385, 0.203)  0.02
O (0.783, 0.884, 0.237)  0.00
O (0.676, 0.640, 0.510)  0.37
O (0.095, 0.615, 0.797)  0.02
O (0.453, 0.764, 0.021)  0.00
O (0.324, 0.360, 0.490)  0.37
Pa (0.294, 0.618, 0.300)  -0.01
Pa (0.706, 0.382, 0.700)  -0.01
U (0.000, 0.000, 0.000)  0.00
F (0.000, 0.000, 0.500)  0.07

Computed properties:
The energy relative to the elements, uncorrected comes out at -3.027 eV/atom. The crystal system is triclinic.

=====

# 2
NbSb2PdCl | PBE | optimized geometry

Cell lengths 5.047, 5.518, 5.047 Å; angles 90.00, 90.00, 90.00 degrees
Last column: magnetic moment on the atom in μB.
Fractional positions:
Sb (0.500, 0.000, 0.000)  -0.01
Sb (0.000, 0.000, 0.500)  -0.02
Pd (0.000, 0.000, 0.000)  0.12
Nb (0.000, 0.500, 0.000)  2.34
Cl (0.500, 0.500, 0.500)  -0.02

Computed properties:
The energy relative to the elements, uncorrected comes out at 0.703 eV/atom. The crystal system is tetragonal.

=====

# 3
TaSi2Tc | PBE | optimized geometry

Cell lengths 8.282, 8.282, 8.282 Å; angles 20.55, 20.55, 20.55 degrees
Fractional positions:
Ta (0.500, 0.500, 0.500)
Si (0.003, 0.003, 0.003)
Si (0.252, 0.252, 0.252)
Tc (0.745, 0.745, 0.745)

Computed properties:
The energy relative to the elements, uncorrected comes out at -0.073 eV/atom. The energy above the most stable polymorph in this dataset comes out at 9.67 kcal/mol of atoms. The crystal system is trigonal.

=====

# 4
TcAg2Ir | PBE | optimized geometry

Cell lengths 4.777, 4.777, 4.777 Å; angles 129.35, 129.35, 74.45 degrees
Last column: magnetic moment on the atom in μB.
Fractional positions:
Ag (0.000, 0.000, 0.000)  0.02
Ag (0.250, 0.750, 0.500)  0.00
Ir (0.500, 0.500, 0.000)  0.09
Tc (0.750, 0.250, 0.500)  0.63

Computed properties:
The calculation puts the formation energy at 0.53 eV/atom. The energy above the most stable polymorph in this dataset comes out at 8.47 kcal/mol of atoms. The crystal system is tetragonal.

=====

# 5
TlSnP | PBE | optimized geometry

Cell lengths 3.618, 3.618, 6.437 Å; angles 106.32, 106.32, 90.00 degrees
Fractional positions:
Sn (0.292, 0.292, 0.583)
Tl (0.008, 0.008, 0.016)
P (0.700, 0.700, 0.401)

Computed properties:
The calculation puts the formation energy at 0.12 eV/atom. The energy above the most stable polymorph in this dataset comes out at 3.03 kcal/mol of atoms. The crystal system is tetragonal.

=====

# 6
Ce2HoTh3Sb6 | PBE | optimized geometry

Cell lengths 4.481, 8.966, 10.019 Å; angles 102.86, 102.92, 90.00 degrees
Last column: magnetic moment on the atom in μB.
Fractional positions:
Th (0.168, 0.834, 0.336)  0.02
Th (0.500, 0.500, 0.000)  0.02
Th (0.832, 0.166, 0.664)  0.02
Sb (0.337, 0.917, 0.673)  -0.01
Sb (0.001, 0.757, 0.001)  0.00
Sb (0.667, 0.582, 0.334)  -0.01
Sb (0.663, 0.083, 0.327)  -0.01
Sb (0.999, 0.243, 0.999)  0.00
Sb (0.333, 0.418, 0.666)  -0.01
Ho (0.500, 0.000, 0.000)  -0.01
Ce (0.834, 0.668, 0.668)  0.78
Ce (0.166, 0.332, 0.332)  0.78

Computed properties:
The energy relative to the elements, uncorrected comes out at -0.997 eV/atom. The crystal system is monoclinic.

=====

# 7
Rh4Se | PBE | optimized geometry

Cell lengths 4.706, 4.706, 4.706 Å; angles 101.09, 101.09, 127.98 degrees
Fractional positions:
Se (0.000, 0.000, 0.000)
Rh (0.384, 0.190, 0.574)
Rh (0.190, 0.616, 0.806)
Rh (0.616, 0.810, 0.426)
Rh (0.810, 0.384, 0.194)

Computed properties:
The energy relative to the elements, uncorrected comes out at 0.130 eV/atom. The crystal system is tetragonal.

=====

# 8
Li2NdAg2Sb2 | PBE | optimized geometry

Cell lengths 4.605, 4.605, 8.732 Å; angles 74.71, 74.71, 60.00 degrees
Fractional positions:
Li (0.143, 0.143, 0.570)
Li (0.857, 0.857, 0.430)
Sb (0.741, 0.741, 0.777)
Sb (0.259, 0.259, 0.223)
Ag (0.442, 0.442, 0.675)
Ag (0.558, 0.558, 0.325)
Nd (0.000, 0.000, 0.000)

Computed properties:
The energy relative to the elements, uncorrected comes out at -0.580 eV/atom. The crystal system is trigonal.

=====

# 9
TiCoCuPt | PBE | optimized geometry

Cell lengths 3.561, 3.757, 3.964 Å; angles 90.00, 90.00, 90.00 degrees
Fractional positions:
Ti (0.500, 0.000, 0.500)
Pt (0.000, 0.000, 0.000)
Cu (0.500, 0.500, 0.000)
Co (0.000, 0.500, 0.500)

Computed properties:
The calculation puts the formation energy at -0.48 eV/atom. The energy above the most stable polymorph in this dataset comes out at 0.00 kcal/mol of atoms. The crystal system is orthorhombic.

=====

# 10
Ag2PPt | PBE | optimized geometry

Cell lengths 4.440, 3.843, 3.843 Å; angles 90.00, 90.00, 90.00 degrees
Fractional positions:
Ag (0.000, 0.500, 0.500)
Ag (0.000, 0.000, 0.000)
Pt (0.500, 0.000, 0.500)
P (0.500, 0.500, 0.000)

Computed properties:
The calculation puts the formation energy at 0.19 eV/atom. The crystal system is tetragonal.

=====

# 11
K3ScSb2O6 | PBE | optimized geometry

Cell lengths 5.972, 5.972, 7.106 Å; angles 90.00, 90.00, 120.00 degrees
Fractional positions:
O (0.167, 0.833, 0.320)
O (0.833, 0.667, 0.680)
O (0.833, 0.167, 0.680)
O (0.167, 0.333, 0.320)
O (0.667, 0.833, 0.320)
O (0.333, 0.167, 0.680)
K (0.000, 0.000, 0.000)
K (0.333, 0.667, 0.651)
K (0.667, 0.333, 0.349)
Sb (0.667, 0.333, 0.811)
Sb (0.333, 0.667, 0.189)
Sc (0.000, 0.000, 0.500)

Computed properties:
The energy relative to the elements, uncorrected comes out at -1.958 eV/atom. The crystal system is trigonal.

=====

# 12
PmSm2ErBi5 | PBE | optimized geometry

Cell lengths 5.381, 5.381, 12.055 Å; angles 90.00, 90.00, 90.00 degrees
Fractional positions:
Er (0.000, 0.000, 0.500)
Bi (0.500, 0.500, 0.000)
Bi (0.000, 0.500, 0.500)
Bi (0.000, 0.000, 0.751)
Bi (0.500, 0.000, 0.500)
Bi (0.000, 0.000, 0.249)
Sm (0.500, 0.500, 0.731)
Sm (0.500, 0.500, 0.269)
Pm (0.000, 0.000, 0.000)

Computed properties:
The calculation puts the formation energy at -0.11 eV/atom. The crystal system is tetragonal.

=====

Number 1: uncorrected energy -108.14 eV/cell, magnetization 0.99 μB/f.u., volume 149.1 Å³/cell. Number 2: uncorrected energy -21.84 eV/cell, magnetization 2.95 μB/f.u., volume 140.6 Å³/cell. Number 3: uncorrected energy -33.36 eV/cell, magnetization 0.00 μB/f.u., volume 61.2 Å³/cell. Number 4: uncorrected energy -22.79 eV/cell, magnetization 0.80 μB/f.u., volume 63.5 Å³/cell. Number 5: uncorrected energy -11.41 eV/cell, magnetization 0.00 μB/f.u., volume 77.3 Å³/cell. Number 6: uncorrected energy -75.40 eV/cell, magnetization 1.85 μB/f.u., volume 382.0 Å³/cell. Number 7: uncorrected energy -32.24 eV/cell, magnetization 0.00 μB/f.u., volume 73.8 Å³/cell. Number 8: uncorrected energy -26.61 eV/cell, magnetization 0.00 μB/f.u., volume 152.8 Å³/cell. Number 9: uncorrected energy -27.06 eV/cell, magnetization 0.00 μB/f.u., volume 53.0 Å³/cell. Number 10: uncorrected energy -16.40 eV/cell, magnetization 0.00 μB/f.u., volume 65.5 Å³/cell. Number 11: uncorrected energy -71.11 eV/cell, magnetization 0.00 μB/f.u., volume 219.5 Å³/cell. Number 12: uncorrected energy -39.16 eV/cell, magnetization 0.00 μB/f.u., volume 349.0 Å³/cell.